Computed, not measured: crystalline LaNdInI at its relaxed geometry at the PBE level of DFT.

The space group is F-43m (No. 216) and the conventional cell measures 7.943, 7.943 and 7.943 Å, with angles of 90.00, 90.00 and 90.00 degrees. The inequivalent atoms are La at (0.000, 0.000, 0.000), Nd at (0.000, 0.000, 0.500), In at (0.250, 0.250, 0.750) and I at (0.250, 0.250, 0.250).

The calculation puts the volume at 31.317 A^3/atom. For the density of states at the Fermi level, the calculation gives 0.78 states/eV/atom. For the uncorrected energy, the calculation gives -65.1 eV/cell. Its crystal system is cubic.